First-principles (PBE+U) data for PdW3F after structural relaxation, as listed in the Alexandria database.

energy relative to the lowest polymorph listed for this composition = 0.00 kcal/mol of atoms
calculated total energy = -4.51 eV per atom

a b c (Å): 4.2640 4.2640 4.2640
angles (deg): 90.00 90.00 90.00
With the nearest neighbours (Å) after each atom.
Space group Pm-3m (No. 221)
Symmetry-distinct sites (fractional):
Pd 0.0000 0.0000 0.0000 x1  12 W 3.02
W 0.0000 0.5000 0.5000 x3  2 F 2.13
F 0.5000 0.5000 0.5000 x1  6 W 2.13